# MnTeF6

A relaxed MnTeF6 crystal (PBE+U, the Alexandria database).

Calculated volume (Å³ per atom): 16.45
Fermi-level density of states (states/eV per cell): 0.000
Energy above the most stable polymorph in this dataset (eV/atom): 0.000
SG: R-3

The structure in CIF format:
```
data_MnTeF6
_chemical_formula_sum 'Mn1 Te1 F6'
_space_group_name_H-M_alt 'P 1'
_space_group_IT_number 1
_space_group_name_Hall 'P 1'
_cell_length_a 5.5253
_cell_length_b 5.5261
_cell_length_c 5.9126
_cell_angle_alpha 62.14
_cell_angle_beta 62.13
_cell_angle_gamma 59.98
loop_
_atom_site_label
_atom_site_type_symbol
_atom_site_fract_x
_atom_site_fract_y
_atom_site_fract_z
Te1 Te 0.0000 0.0000 0.0000
F1 F 0.2482 0.8647 0.2465
F2 F 0.8647 0.6407 0.2465
F3 F 0.1353 0.3593 0.7535
F4 F 0.3594 0.7515 0.7537
F5 F 0.7518 0.1353 0.7535
F6 F 0.6406 0.2485 0.2463
Mn1 Mn 0.5000 0.5000 0.5000
```